# 1
This record from the Alexandria database describes a geometry-optimized Dy3InP2Rh9 structure. The functional is PBE-GGA.

## Properties
Energy relative to the elements ... -0.625 eV/atom
Space-group type ... P-3m1 (164)
VASP energy ... -6.86 eV per atom

a = 6.0396 Å, b = 6.0396 Å, c = 9.4564 Å
α = 90.00°, β = 90.00°, γ = 120.00°
Fractional positions:
Rh  0.1482  0.2964  0.2616
Rh  0.8518  0.7036  0.7384
In  0.0000  0.0000  0.5000
Dy  0.0000  0.0000  0.0000
Rh  0.8518  0.1482  0.7384
P  0.6667  0.3333  0.8417
Rh  0.5000  0.5000  0.0000
Rh  0.2964  0.1482  0.7384
Dy  0.3333  0.6667  0.7327
Rh  0.7036  0.8518  0.2616
Dy  0.6667  0.3333  0.2673
P  0.3333  0.6667  0.1583
Rh  0.5000  0.0000  0.0000
Rh  0.1482  0.8518  0.2616
Rh  0.0000  0.5000  0.0000

---

# 2
This record from the Alexandria database describes a geometry-optimized Tb12Re3O5 structure. The functional is PBE-GGA.

## Properties
Space-group type ... Ia-3d (230)
VASP energy ... -7.23 eV per atom

a = 13.2030 Å, b = 13.2030 Å, c = 13.2030 Å
α = 109.47°, β = 109.47°, γ = 109.47°
Fractional positions:
Re  0.8750  0.7500  0.1250
O  0.6250  0.7500  0.8750
Tb  0.1826  0.0974  0.9757
O  0.8750  0.6250  0.7500
Tb  0.7931  0.3174  0.9148
Tb  0.6826  0.4757  0.5974
O  0.3750  0.1250  0.7500
Tb  0.7069  0.1217  0.0243
Tb  0.2931  0.8783  0.9757
Re  0.2500  0.1250  0.3750
Tb  0.5243  0.2069  0.1217
Tb  0.0243  0.4026  0.8174
Re  0.2500  0.6250  0.8750
Tb  0.4026  0.3783  0.5852
Tb  0.6826  0.2069  0.5852
Re  0.6250  0.3750  0.7500
O  0.7500  0.1250  0.8750
Tb  0.3174  0.5243  0.4026
Tb  0.8174  0.9026  0.0243
Tb  0.3174  0.7931  0.4148
O  0.0000  0.0000  0.0000
O  0.1250  0.7500  0.3750
Tb  0.8783  0.5852  0.9026
Tb  0.8174  0.9148  0.2931
O  0.0000  0.5000  0.0000
Re  0.7500  0.3750  0.1250
O  0.5000  0.0000  0.5000
Re  0.8750  0.1250  0.2500
Tb  0.0243  0.6217  0.7069
Re  0.6250  0.2500  0.3750
Tb  0.3783  0.4026  0.0852
Tb  0.0974  0.1826  0.4757
Tb  0.3783  0.9757  0.7931
Tb  0.4148  0.1217  0.5974
Tb  0.5974  0.9757  0.6826
Re  0.7500  0.8750  0.6250
Tb  0.0852  0.9026  0.3783
Re  0.3750  0.7500  0.6250
O  0.8750  0.2500  0.6250
Tb  0.9026  0.0852  0.8783
Tb  0.5852  0.7069  0.6826
Tb  0.2931  0.4148  0.8174
Tb  0.9026  0.8174  0.5243
Tb  0.7931  0.4757  0.3783
Tb  0.5852  0.8783  0.4026
Tb  0.8783  0.2931  0.4757
O  0.2500  0.8750  0.1250
Tb  0.7069  0.5852  0.1826
Tb  0.0974  0.9148  0.1217
Tb  0.6217  0.0243  0.2069
Tb  0.9757  0.3783  0.2931
O  0.5000  0.5000  0.0000
Tb  0.9757  0.5974  0.1826
Tb  0.1217  0.7069  0.5243
O  0.5000  0.0000  0.0000
Tb  0.1826  0.0852  0.7069
Re  0.3750  0.6250  0.2500
Tb  0.2069  0.6826  0.0852
O  0.0000  0.0000  0.5000
Tb  0.2069  0.5243  0.6217
Tb  0.4148  0.2931  0.3174
O  0.3750  0.2500  0.1250
Tb  0.4026  0.0243  0.3174
Re  0.1250  0.8750  0.7500
Tb  0.0852  0.1826  0.2069
O  0.6250  0.8750  0.2500
Tb  0.4757  0.7931  0.8783
O  0.5000  0.5000  0.5000
Tb  0.9148  0.8174  0.7931
O  0.7500  0.6250  0.3750
O  0.2500  0.3750  0.6250
Tb  0.9148  0.0974  0.6217
O  0.0000  0.5000  0.5000
Tb  0.6217  0.5974  0.9148
Tb  0.4757  0.6826  0.0974
Tb  0.5243  0.3174  0.9026
Re  0.1250  0.2500  0.8750
O  0.1250  0.3750  0.2500
Tb  0.5974  0.6217  0.4148
Tb  0.1217  0.4148  0.0974

---

# 3
This record from the Alexandria database describes a geometry-optimized Cu5AgPd6 structure. The functional is PBE-GGA.

## Properties
Energy relative to the elements ... -0.073 eV/atom
Space-group type ... Cmmm (65)
VASP energy ... -4.61 eV per atom

a = 4.0142 Å, b = 7.0595 Å, c = 6.3810 Å
α = 90.00°, β = 71.67°, γ = 90.00°
Fractional positions:
Cu  0.3329  0.5000  0.3342
Pd  0.5000  0.2657  0.0000
Cu  0.6671  0.5000  0.6658
Pd  0.8304  0.7430  0.3391
Pd  0.1696  0.2570  0.6609
Pd  0.8304  0.2570  0.3391
Cu  0.3316  0.0000  0.3368
Pd  0.1696  0.7430  0.6609
Cu  0.0000  0.5000  0.0000
Ag  0.0000  0.0000  0.0000
Cu  0.6684  0.0000  0.6632
Pd  0.5000  0.7343  0.0000

---

# 4
This record from the Alexandria database describes a geometry-optimized TbPuGeSe structure. The functional is PBE-GGA.

## Properties
Space-group type ... R3m (160)
VASP energy ... -7.90 eV per atom

a = 4.1560 Å, b = 4.1560 Å, c = 7.1869 Å
α = 73.19°, β = 73.19°, γ = 60.00°
Fractional positions:
Se  0.6947  0.6947  0.9159
Ge  0.1934  0.1934  0.4198
Tb  0.9424  0.9424  0.1729
Pu  0.4460  0.4460  0.6621

---

# 5
This record from the Alexandria database describes a geometry-optimized Dy2SiNi6 structure. The functional is PBE-GGA.

## Properties
Space-group type ... Fm-3m (225)
VASP energy ... -5.95 eV per atom

a = 5.7118 Å, b = 5.7118 Å, c = 5.7118 Å
α = 60.00°, β = 60.00°, γ = 60.00°
Fractional positions:
Ni  0.2801  0.2801  0.7199
Ni  0.7199  0.7199  0.2801
Si  0.0000  0.0000  0.0000
Ni  0.7199  0.2801  0.7199
Dy  0.7500  0.7500  0.7500
Ni  0.2801  0.7199  0.2801
Ni  0.7199  0.2801  0.2801
Ni  0.2801  0.7199  0.7199
Dy  0.2500  0.2500  0.2500

---

# 6
This record from the Alexandria database describes a geometry-optimized Sm2HfAl structure. The functional is PBE-GGA.

## Properties
Energy relative to the elements ... 0.083 eV/atom
Space-group type ... Fm-3m (225)
VASP energy ... -5.70 eV per atom

a = 5.2605 Å, b = 5.2605 Å, c = 5.2607 Å
α = 60.00°, β = 60.00°, γ = 60.00°
Fractional positions:
Hf  0.0000  0.0000  0.0000
Sm  0.2500  0.2500  0.2499
Sm  0.7500  0.7500  0.7501
Al  0.5000  0.5000  0.5000

---

# 7
This record from the Alexandria database describes a geometry-optimized K2HoRuO4 structure. The functional is PBE-GGA.

## Properties
Space-group type ... P2/m (10)
VASP energy ... -6.33 eV per atom

a = 3.3943 Å, b = 5.5636 Å, c = 6.4542 Å
α = 108.12°, β = 90.00°, γ = 90.00°
Fractional positions:
Ru  0.0000  0.0000  0.0000
K  0.0000  0.5000  0.5000
O  0.0000  0.2590  0.8094
O  0.0000  0.7410  0.1906
Ho  0.5000  0.5000  0.0000
O  0.5000  0.7972  0.8252
O  0.5000  0.2028  0.1748
K  0.5000  0.0000  0.5000

---

# 8
This record from the Alexandria database describes a geometry-optimized NpSeI2O6 structure. The functional is PBE-GGA.

## Properties
Space-group type ... P-1 (2)
VASP energy ... -6.04 eV per atom

a = 5.3356 Å, b = 5.5524 Å, c = 10.0693 Å
α = 61.24°, β = 58.38°, γ = 88.00°
Fractional positions:
Se  0.5000  0.5000  0.0000
O  0.3732  0.8220  0.9160
O  0.1402  0.2465  0.7565
O  0.2882  0.3220  0.9603
O  0.6268  0.1780  0.0840
Np  0.0000  0.0000  0.0000
I  0.9319  0.2447  0.4210
O  0.8598  0.7535  0.2435
I  0.0681  0.7553  0.5790
O  0.7118  0.6780  0.0397

---

How do the records compare in Fermi-level density of states? In the order shown, they have 8.20 13.24 7.27 11.19 6.16 5.89 3.79 3.76 states/eV/f.u..